[1]
First-principles (GGA-PBE) data for a geometry-optimized KDy structure, as listed in the Open Quantum Materials Database.

Lattice parameters (Å, degrees): 6.9842 6.9842 6.9842 90.00 90.00 90.00
Closest atoms and distances in Å follow each position.
Space group Fm-3m (No. 225)
Asymmetric unit:
K1 0.0000 0.0000 0.0000 x4  6 Dy 3.49
Dy1 0.0000 0.0000 0.5000 x4  6 K 3.49

The spin magnetization is 0.00 μB/f.u. The raw total energy comes out at -1.623 eV/atom.



[2]
First-principles (GGA-PBE) data for a geometry-optimized PrNdAsO structure, as listed in the Open Quantum Materials Database.

Lattice parameters (Å, degrees): 4.3450 7.9836 6.1333 90.00 90.00 90.00
Closest atoms and distances in Å follow each position.
Space group Pmc2_1 (No. 26)
Asymmetric unit:
Pr1 0.0000 0.2011 0.0000 x2  2 O 2.42
Nd1 0.5000 0.3882 0.5684 x2  2 O 2.33-2.40
As1 0.0000 0.1649 0.4950 x2  2 Nd 2.85, 3 Pr 2.92-3.11
O1 0.5000 0.3279 0.9405 x2  2 Nd 2.33-2.40, 2 Pr 2.42

The polymorph energy (0 for the lowest one) comes out at 0 meV per atom. The spin magnetization is 0.01 μB/f.u. The raw total energy comes out at -6.682 eV/atom.



[3]
First-principles (GGA-PBE) data for a geometry-optimized BaOs2 structure, as listed in the Open Quantum Materials Database.

Lattice parameters (Å, degrees): 5.6123 5.6123 9.0324 90.00 90.00 120.00
Closest atoms and distances in Å follow each position.
Space group P6_3/mmc (No. 194)
Asymmetric unit:
Ba1 0.3333 0.6667 0.0648 x4  12 Os 3.26-3.29, 4 Ba 3.35-3.45
Os1 0.0000 0.0000 0.0000 x2  6 Os 2.79
Os2 0.1689 0.3377 0.7500 x6  6 Os 2.77-2.84

The polymorph energy (0 for the lowest one) comes out at 0 meV per atom. The spin magnetization is 0.30 μB/f.u. The raw total energy comes out at -7.377 eV/atom.